[1]
Crystalline MgCu2O4 at its relaxed geometry. Source: Alexandria via LeMat-Bulk, functional PBEsol.

The offset from the most stable computed form is 84 meV per atom. As for the formation energy without anion corrections: -1.0491 eV/atom. Its total energy is -38.73 eV per formula unit.

The space group is Cmcm (No. 63) and the conventional cell measures 2.901, 9.500 and 9.204 Å, with angles of 90.00, 90.00 and 90.00 degrees. The distinct sites, in fractional coordinates, are Mg at (0.000, 0.108, 0.250), Cu at (0.000, 0.367, 0.071), O at (0.000, 0.000, 0.000), O at (0.000, 0.279, 0.614) and O at (0.000, 0.458, 0.250).

[2]
Crystalline YFeCl2 at its relaxed geometry. Source: Alexandria via LeMat-Bulk, functional PBEsol.

The offset from the most stable computed form is 26 meV per atom. As for the formation energy without anion corrections: -0.7961 eV/atom. Its total energy is -22.99 eV per formula unit.

The space group is Pm (No. 6) and the conventional cell measures 3.443, 3.369 and 7.635 Å, with angles of 90.00, 102.89 and 90.00 degrees. The distinct sites, in fractional coordinates, are Y at (0.000, 0.000, 0.000), Fe at (0.378, 0.500, 0.754), Cl at (0.136, 0.500, 0.269) and Cl at (0.817, 0.000, 0.631).

[3]
Crystalline HfBSeBr2 at its relaxed geometry. Source: Alexandria via LeMat-Bulk, functional PBEsol.

As for the formation energy without anion corrections: 0.4898 eV/atom. Its total energy is -22.66 eV per formula unit.

The space group is P4/mmm (No. 123) and the conventional cell measures 4.444, 4.444 and 4.608 Å, with angles of 90.00, 90.00 and 90.00 degrees. The distinct sites, in fractional coordinates, are Hf at (0.000, 0.000, 0.000), B at (0.500, 0.500, 0.500), Se at (0.500, 0.500, 0.000) and Br at (0.000, 0.500, 0.500).

[4]
Crystalline LiYTl2 at its relaxed geometry. Source: Alexandria via LeMat-Bulk, functional PBEsol.

For the formation energy, the calculation gives -0.392 eV/atom. Its total energy is -15.62 eV per formula unit.

The space group is P4/mmm (No. 123) and the conventional cell measures 4.964, 4.964 and 3.866 Å, with angles of 90.00, 90.00 and 90.00 degrees. The distinct sites, in fractional coordinates, are Li at (0.000, 0.000, 0.000), Y at (0.500, 0.500, 0.000) and Tl at (0.000, 0.500, 0.500).

[5]
Crystalline NaFeBiSe2 at its relaxed geometry. Source: Alexandria via LeMat-Bulk, functional PBEsol.

As for the formation energy without anion corrections: 0.0086 eV/atom. Its total energy is -22.31 eV per formula unit.

The space group is P4/mmm (No. 123) and the conventional cell measures 4.833, 4.833 and 5.103 Å, with angles of 90.00, 90.00 and 90.00 degrees. The distinct sites, in fractional coordinates, are Na at (0.000, 0.000, 0.000), Fe at (0.500, 0.500, 0.500), Bi at (0.500, 0.500, 0.000) and Se at (0.000, 0.500, 0.500).

[6]
Crystalline ScMoOs2 at its relaxed geometry. Source: Alexandria via LeMat-Bulk, functional PBEsol.

For the formation energy, the calculation gives 0.056 eV/atom. Its total energy is -42.58 eV per formula unit.

The space group is C2/m (No. 12) and the conventional cell measures 5.507, 8.627 and 2.758 Å, with angles of 90.00, 111.87 and 90.00 degrees. The distinct sites, in fractional coordinates, are Sc at (0.000, 0.000, 0.000), Mo at (0.000, 0.500, 0.000) and Os at (0.250, 0.250, 0.500).

[7]
Crystalline Ca2TlPb at its relaxed geometry. Source: Alexandria via LeMat-Bulk, functional PBEsol.

The offset from the most stable computed form is 271 meV per atom. For the formation energy, the calculation gives -0.270 eV/atom. Its total energy is -11.97 eV per formula unit.

The space group is P4mm (No. 99) and the conventional cell measures 4.254, 4.254 and 6.785 Å, with angles of 90.00, 90.00 and 90.00 degrees. The distinct sites, in fractional coordinates, are Ca at (0.000, 0.000, 0.000), Ca at (0.500, 0.500, 0.320), Tl at (0.500, 0.500, 0.790) and Pb at (0.000, 0.000, 0.534).

[8]
Crystalline LiYOs2 at its relaxed geometry. Source: Alexandria via LeMat-Bulk, functional PBEsol.

The offset from the most stable computed form is 19 meV per atom. For the formation energy, the calculation gives 0.468 eV/atom. Its total energy is -31.35 eV per formula unit.

The space group is Cmmm (No. 65) and the conventional cell measures 3.071, 4.589 and 8.963 Å, with angles of 90.00, 90.00 and 90.00 degrees. The distinct sites, in fractional coordinates, are Li at (0.000, 0.000, 0.000), Y at (0.000, 0.000, 0.500) and Os at (0.000, 0.500, 0.240).

[9]
Crystalline K2LiFe at its relaxed geometry. Source: Alexandria via LeMat-Bulk, functional PBEsol.

The offset from the most stable computed form is 199 meV per atom. For the formation energy, the calculation gives 1.031 eV/atom. Its total energy is -9.07 eV per formula unit.

The space group is I-42d (No. 122) and the conventional cell measures 9.360, 9.360 and 6.564 Å, with angles of 90.00, 90.00 and 90.00 degrees. The distinct sites, in fractional coordinates, are K at (0.233, 0.750, 0.125), Li at (0.000, 0.000, 0.500) and Fe at (0.000, 0.000, 0.000).

[10]
Crystalline B2RuW2 at its relaxed geometry. Source: Alexandria via LeMat-Bulk, functional PBEsol.

For the formation energy, the calculation gives -0.286 eV/atom. Its total energy is -53.25 eV per formula unit.

The space group is P4/mbm (No. 127) and the conventional cell measures 5.546, 5.546 and 3.598 Å, with angles of 90.00, 90.00 and 90.00 degrees. The distinct sites, in fractional coordinates, are B at (0.117, 0.383, 0.000), Ru at (0.000, 0.000, 0.000) and W at (0.171, 0.671, 0.500).

[11]
Crystalline PAuI3 at its relaxed geometry. Source: Alexandria via LeMat-Bulk, functional PBEsol.

As for the formation energy without anion corrections: 0.7485 eV/atom. Its total energy is -11.27 eV per formula unit.

The space group is Pm-3m (No. 221) and the conventional cell measures 5.516, 5.516 and 5.516 Å, with angles of 90.00, 90.00 and 90.00 degrees. The distinct sites, in fractional coordinates, are P at (0.000, 0.000, 0.000), Au at (0.500, 0.500, 0.500) and I at (0.000, 0.500, 0.500).

[12]
Crystalline TlIN2F at its relaxed geometry. Source: Alexandria via LeMat-Bulk, functional PBEsol.

As for the formation energy without anion corrections: 0.7929 eV/atom. Its total energy is -19.41 eV per formula unit.

The space group is P4/mmm (No. 123) and the conventional cell measures 4.075, 4.075 and 4.850 Å, with angles of 90.00, 90.00 and 90.00 degrees. The distinct sites, in fractional coordinates, are Tl at (0.000, 0.000, 0.000), I at (0.500, 0.500, 0.500), N at (0.000, 0.500, 0.500) and F at (0.500, 0.500, 0.000).

[13]
Crystalline Sr2TaMo at its relaxed geometry. Source: Alexandria via LeMat-Bulk, functional PBEsol.

The offset from the most stable computed form is 459 meV per atom. For the formation energy, the calculation gives 1.194 eV/atom. Its total energy is -23.22 eV per formula unit.

The space group is C2/m (No. 12) and the conventional cell measures 5.795, 10.909 and 2.894 Å, with angles of 90.00, 90.74 and 90.00 degrees. The distinct sites, in fractional coordinates, are Sr at (0.250, 0.250, 0.000), Ta at (0.000, 0.000, 0.500) and Mo at (0.000, 0.500, 0.500).

[14]
Crystalline KFe2Ni at its relaxed geometry. Source: Alexandria via LeMat-Bulk, functional PBEsol.

The offset from the most stable computed form is 205 meV per atom. For the formation energy, the calculation gives 0.936 eV/atom. Its total energy is -21.47 eV per formula unit.

The space group is Immm (No. 71) and the conventional cell measures 2.518, 4.983 and 10.050 Å, with angles of 90.00, 90.00 and 90.00 degrees. The distinct sites, in fractional coordinates, are K at (0.000, 0.000, 0.000), Fe at (0.000, 0.500, 0.206) and Ni at (0.000, 0.000, 0.500).